Below is a relaxed Ag2TeI crystal, with properties calculated at the PBE level.

Output
M_tot: 0.000 μB per atom
Energy relative to the elements, uncorrected: -0.111 eV per atom
ρ: 5836 kg/m3
Symmetry: No. 2
Energy above the lowest structure with this stoichiometry: 0.018 eV per atom

abc: 4.802 6.909 8.527
angles: 72.73 82.16 88.24
Atoms (fractional coordinates):
1 Ag 0.105 0.253 0.458
2 Ag 0.352 0.886 0.670
3 Ag 0.648 0.114 0.330
4 Ag 0.895 0.747 0.542
5 Te 0.425 0.692 0.387
6 Te 0.575 0.308 0.613
7 I 0.197 0.205 0.126
8 I 0.803 0.795 0.874